Record 1
VASP calculation (PBE) on LiAsN after structural relaxation.

Cell: 8.3370 9.8377 3.7159 Å, 139.07 27.09 132.28°
With the nearest neighbours (Å) after each atom.
Positions (direct):
1 N 0.9016 0.7914 0.3289  1 As 1.72
2 As 0.4017 0.2290 0.7039  1 N 1.72
3 Li 0.4016 0.6483 0.0424  4 N 2.10-2.11
4 As 0.9016 0.0584 0.8629  1 N 1.72
5 Li 0.9016 0.6391 0.5244  4 N 2.10-2.11
6 N 0.4017 0.4960 0.2378  1 As 1.72

Formation energy from raw total energies in eV/atom: -0.1262
Offset from the most stable computed form in eV per atom: 0.000

=====

Record 2
VASP calculation (PBE) on RbZrTl after structural relaxation.

Cell: 4.9984 4.9961 12.6047 Å, 79.03 91.31 122.33°
With the nearest neighbours (Å) after each atom.
Positions (direct):
1 Rb 0.7166 0.1471 0.6750  3 Tl 3.72-3.77, 1 Zr 4.00
2 Tl 0.9097 0.5514 0.1218  1 Tl 3.07, 6 Zr 3.15-3.44
3 Rb 0.1772 0.1067 0.3193  3 Tl 3.72-3.77, 1 Zr 4.00
4 Tl 0.9842 0.7025 0.8726  1 Tl 3.07, 6 Zr 3.15-3.44
5 Zr 0.2947 0.2811 0.9950  3 Zr 2.68-2.95
6 Zr 0.5992 0.9728 0.9994  3 Zr 2.68-2.95

ΔH_f (0 K) in eV/atom: 0.19
Offset from the most stable computed form in eV per atom: 0.125

=====

Record 3
VASP calculation (PBE) on Er4NpGa15 after structural relaxation.

Cell: 4.2293 4.2293 21.2460 Å, 90.00 90.00 90.00°
With the nearest neighbours (Å) after each atom.
Positions (direct):
1 Ga 0.5000 0.5000 0.1995  8 Ga 2.98-3.04, 4 Er 2.99
2 Ga 0.5000 0.5000 0.5999  4 Er 2.99, 8 Ga 3.00-3.02
3 Ga 0.5000 0.0000 0.2986  8 Ga 2.98-3.02, 4 Er 3.00-3.01
4 Ga 0.0000 0.5000 0.5000  8 Ga 2.99-3.00, 4 Er 3.01
5 Ga 0.5000 0.0000 0.7014  8 Ga 2.98-3.02, 4 Er 3.00-3.01
6 Er 0.0000 0.0000 0.8018  12 Ga 2.99-3.01
7 Ga 0.5000 0.5000 0.4001  4 Er 2.99, 8 Ga 3.00-3.02
8 Ga 0.5000 0.5000 0.0000  8 Ga 2.95, 4 Np 2.99
9 Er 0.0000 0.0000 0.1982  12 Ga 2.99-3.01
10 Ga 0.5000 0.5000 0.8005  8 Ga 2.98-3.04, 4 Er 2.99
11 Ga 0.0000 0.5000 0.2986  8 Ga 2.98-3.02, 4 Er 3.00-3.01
12 Np 0.0000 0.0000 0.0000  12 Ga 2.95-2.99
13 Ga 0.5000 0.0000 0.9029  2 Np 2.95, 8 Ga 2.95-3.04, 2 Er 3.01
14 Ga 0.0000 0.5000 0.0971  2 Np 2.95, 8 Ga 2.95-3.04, 2 Er 3.01
15 Ga 0.0000 0.5000 0.7014  8 Ga 2.98-3.02, 4 Er 3.00-3.01
16 Ga 0.5000 0.0000 0.5000  8 Ga 2.99-3.00, 4 Er 3.01
17 Er 0.0000 0.0000 0.6009  12 Ga 2.99-3.01
18 Er 0.0000 0.0000 0.3991  12 Ga 2.99-3.01
19 Ga 0.5000 0.0000 0.0971  8 Ga 2.95-3.04, 2 Np 2.95, 2 Er 3.01
20 Ga 0.0000 0.5000 0.9029  2 Np 2.95, 8 Ga 2.95-3.04, 2 Er 3.01

ΔH_f (0 K) in eV/atom: -0.42

=====

Record 4
VASP calculation (PBE) on Pr3Mg3Zn2 after structural relaxation.

Cell: 5.2218 5.2218 9.2808 Å, 73.66 73.66 60.00°
With the nearest neighbours (Å) after each atom.
Positions (direct):
1 Pr 0.8801 0.8801 0.3596  4 Zn 3.16-3.23, 4 Mg 3.17-3.49
2 Mg 0.6243 0.6243 0.1272  4 Mg 3.19-3.25, 4 Zn 3.21-3.22
3 Pr 0.3688 0.3688 0.8937  4 Mg 3.11-3.24, 3 Zn 3.15
4 Mg 0.7476 0.7476 0.7571  7 Pr 3.24-3.49, 1 Mg 3.25
5 Pr 0.1259 0.1259 0.6222  4 Zn 3.22-3.31, 4 Mg 3.24-3.29
6 Zn 0.0002 0.0002 0.9994  5 Pr 3.15-3.31, 3 Mg 3.22
7 Zn 0.5023 0.5023 0.4931  1 Mg 3.21, 7 Pr 3.22-3.52
8 Mg 0.2508 0.2508 0.2477  5 Pr 3.11-3.29, 3 Mg 3.19

ΔH_f (0 K) in eV/atom: -0.15
Offset from the most stable computed form in eV per atom: 0.000

=====

Record 5
VASP calculation (PBE) on PuThSe2N after structural relaxation.

Cell: 4.0982 4.0982 14.4716 Å, 90.00 90.00 90.00°
With the nearest neighbours (Å) after each atom.
Positions (direct):
1 Pu 0.0000 0.5000 0.8859  6 Se 2.72-2.98
2 Th 0.5000 0.0000 0.5802  4 N 2.36
3 Pu 0.5000 0.0000 0.1141  6 Se 2.72-2.98
4 N 0.0000 0.0000 0.5000  4 Th 2.36
5 Th 0.0000 0.5000 0.4198  4 N 2.36
6 Se 0.5000 0.0000 0.3022  1 Pu 2.72
7 N 0.5000 0.5000 0.5000  4 Th 2.36
8 Se 0.0000 0.5000 0.6978  1 Pu 2.72
9 Se 0.0000 0.5000 0.0921  5 Pu 2.92-2.98
10 Se 0.5000 0.0000 0.9079  5 Pu 2.92-2.98

Formation energy from raw total energies in eV/atom: -1.6559

=====

Record 6
VASP calculation (PBE) on ReCI2N after structural relaxation.

Cell: 7.7381 7.7381 2.6069 Å, 90.00 90.00 90.00°
With the nearest neighbours (Å) after each atom.
Positions (direct):
1 I 0.0000 0.5000 0.0000  2 I 2.61
2 N 0.0000 0.0000 0.5000  2 C 1.30
3 C 0.0000 0.0000 0.0000  2 N 1.30
4 I 0.5000 0.0000 0.0000  2 I 2.61
5 Re 0.5000 0.5000 0.5000  2 Re 2.61

Formation energy from raw total energies in eV/atom: 1.7983
Offset from the most stable computed form in eV per atom: 0.087

=====

Number 1: ρ 3.5 g/cm³. Number 2: ρ 4.9 g/cm³. Number 3: ρ 8.5 g/cm³. Number 4: ρ 5.0 g/cm³. Number 5: ρ 8.9 g/cm³. Number 6: ρ 5.0 g/cm³.